Version w
The following is a DFT calculation (PBE) of a geometry-optimized TbScGa3 structure.

Cell lengths 5.8487, 7.3231, 11.1409 Å; angles 90.00, 90.00, 90.00 degrees
With the nearest neighbours (Å) after each atom.
Positions (direct):
1 Ga 0.9999 0.5054 0.7500  4 Ga 2.71, 2 Sc 2.79, 2 Tb 3.00
2 Ga 0.2502 0.2501 0.3768  5 Ga 2.71-2.92, 2 Sc 2.72
3 Ga 0.0001 0.4946 0.2500  4 Ga 2.71, 2 Sc 2.79, 2 Tb 3.00
4 Ga 0.7498 0.7499 0.8768  5 Ga 2.71-2.92, 2 Sc 2.72
5 Ga 0.2502 0.2501 0.1232  5 Ga 2.71-2.92, 2 Sc 2.72
6 Ga 0.5001 0.0054 0.2500  4 Ga 2.71, 2 Sc 2.79, 2 Tb 3.00
7 Ga 0.7502 0.2499 0.1232  5 Ga 2.71-2.92, 2 Sc 2.72
8 Ga 0.2498 0.7501 0.8768  5 Ga 2.71-2.92, 2 Sc 2.72
9 Ga 0.7502 0.2499 0.3768  5 Ga 2.71-2.92, 2 Sc 2.72
10 Ga 0.7498 0.7499 0.6232  5 Ga 2.71-2.92, 2 Sc 2.72
11 Ga 0.2498 0.7501 0.6232  5 Ga 2.71-2.92, 2 Sc 2.72
12 Ga 0.4999 0.9946 0.7500  4 Ga 2.71, 2 Sc 2.79, 2 Tb 3.00
13 Tb 0.0001 0.9120 0.2500  7 Ga 3.00-3.20
14 Tb 0.5002 0.5880 0.2500  7 Ga 3.00-3.20
15 Tb 0.4998 0.4120 0.7500  7 Ga 3.00-3.20
16 Tb 0.9998 0.0880 0.7500  7 Ga 3.00-3.20
17 Sc 0.5000 0.0000 0.0000  6 Ga 2.72-2.79
18 Sc 0.0000 0.5000 0.0000  6 Ga 2.72-2.79
19 Sc 0.0000 0.5000 0.5000  6 Ga 2.72-2.79
20 Sc 0.5000 0.0000 0.5000  6 Ga 2.72-2.79

Calculated values
- Magnetic moment: 0.00 Bohr magnetons per cell
- SG: No. 74
- Crystal system: orthorhombic
- Fermi-level density of states: 0.86 states/eV/atom



Version x
The following is a DFT calculation (PBE) of a geometry-optimized TbScGa3 structure.

Cell lengths 4.0143, 4.1267, 12.7066 Å; angles 90.00, 99.09, 90.00 degrees
With the nearest neighbours (Å) after each atom.
Positions (direct):
1 Ga 0.5252 0.7500 0.0504  3 Ga 2.42-2.47
2 Ga 0.3184 0.7500 0.6368  2 Ga 2.53
3 Ga 0.3766 0.2500 0.7532  3 Ga 2.47-2.53
4 Ga 0.6234 0.7500 0.2468  3 Ga 2.47-2.53
5 Ga 0.4748 0.2500 0.9496  3 Ga 2.42-2.47
6 Ga 0.6816 0.2500 0.3632  2 Ga 2.53
7 Tb 0.9249 0.7500 0.8498  12 Ga 3.12-3.34
8 Tb 0.0751 0.2500 0.1502  12 Ga 3.12-3.34
9 Sc 0.7945 0.2500 0.5890  7 Ga 2.83-2.94
10 Sc 0.2055 0.7500 0.4110  7 Ga 2.83-2.94

Calculated values
- Magnetic moment: 0.00 Bohr magnetons per cell
- SG: No. 63
- Crystal system: orthorhombic
- Fermi-level density of states: 0.66 states/eV/atom



How far above the most stable structure does each one sit? In meV/atom: version w 379; version x 0.



Version w
The following is a DFT calculation (PBE) of a geometry-optimized TbScGa2 structure.

Cell lengths 4.9169, 4.9169, 4.9169 Å; angles 60.00, 60.00, 60.00 degrees
With the nearest neighbours (Å) after each atom.
Positions (direct):
1 Tb 0.0000 0.0000 0.0000  8 Ga 3.01
2 Sc 0.5000 0.5000 0.5000  8 Ga 3.01
3 Ga 0.7500 0.7500 0.7500  4 Tb 3.01, 4 Sc 3.01
4 Ga 0.2500 0.2500 0.2500  4 Tb 3.01, 4 Sc 3.01

Calculated values
- Magnetic moment: 0.00 Bohr magnetons per cell
- SG: No. 225
- Crystal system: cubic
- Fermi-level density of states: 0.35 states/eV/atom



Version x
The following is a DFT calculation (PBE) of a geometry-optimized TbScGa2 structure.

Cell lengths 3.5210, 3.5210, 8.7995 Å; angles 78.46, 78.46, 60.00 degrees
With the nearest neighbours (Å) after each atom.
Positions (direct):
1 Tb 0.5000 0.5000 0.5000  6 Ga 3.03
2 Sc 0.0000 0.0000 0.0000  6 Ga 2.87
3 Ga 0.7456 0.7456 0.7631  3 Sc 2.87, 3 Tb 3.03
4 Ga 0.2544 0.2544 0.2369  3 Sc 2.87, 3 Tb 3.03

Calculated values
- Magnetic moment: 0.00 Bohr magnetons per cell
- SG: No. 166
- Crystal system: trigonal
- Fermi-level density of states: 0.51 states/eV/atom



Version y
The following is a DFT calculation (PBE) of a geometry-optimized TbScGa2 structure.

Cell lengths 3.4851, 3.4851, 6.8952 Å; angles 90.00, 90.00, 90.00 degrees
With the nearest neighbours (Å) after each atom.
Positions (direct):
1 Tb 0.5000 0.5000 0.5000  8 Ga 3.10, 2 Sc 3.45
2 Ga 0.0000 0.0000 0.7729  4 Sc 2.92, 4 Tb 3.10, 1 Ga 3.13
3 Ga 0.0000 0.0000 0.2271  4 Sc 2.92, 4 Tb 3.10, 1 Ga 3.13
4 Sc 0.5000 0.5000 0.0000  8 Ga 2.92

Calculated values
- Magnetic moment: 0.00 Bohr magnetons per cell
- SG: No. 123
- Crystal system: tetragonal
- Fermi-level density of states: 0.50 states/eV/atom



How far above the most stable structure does each one sit? In meV/atom: version w 10; version x 187; version y 0.



Version w
The following is a DFT calculation (PBE) of a geometry-optimized Tb2ScGa3 structure.

Cell lengths 3.4653, 5.8581, 7.9289 Å; angles 111.68, 102.62, 90.00 degrees
With the nearest neighbours (Å) after each atom.
Positions (direct):
1 Ga 0.3430 0.3430 0.6861  2 Sc 2.84, 4 Tb 2.94-3.02
2 Ga 0.6570 0.6570 0.3139  2 Sc 2.84, 4 Tb 2.94-3.02
3 Ga 0.0000 0.0000 0.0000  2 Sc 2.93, 4 Tb 2.99
4 Tb 0.6704 0.1703 0.3407  6 Ga 2.94-3.02
5 Tb 0.3296 0.8297 0.6593  6 Ga 2.94-3.02
6 Sc 0.0000 0.5000 0.0000  6 Ga 2.84-2.93

Calculated values
- Magnetic moment: 0.00 Bohr magnetons per cell
- SG: No. 71
- Crystal system: orthorhombic
- Fermi-level density of states: 1.08 states/eV/atom



Version x
The following is a DFT calculation (PBE) of a geometry-optimized Tb2ScGa3 structure.

Cell lengths 4.9648, 4.9648, 12.2295 Å; angles 90.00, 90.00, 120.00 degrees
With the nearest neighbours (Å) after each atom.
Positions (direct):
1 Tb 0.0000 0.0000 0.5000  8 Ga 2.99-3.03
2 Tb 0.3333 0.6667 0.1732  8 Ga 3.01-3.17
3 Tb 0.0000 0.0000 0.0000  8 Ga 3.05-3.12
4 Tb 0.6667 0.3333 0.8268  8 Ga 3.01-3.17
5 Ga 0.6667 0.3333 0.0864  1 Sc 3.03, 7 Tb 3.05-3.17
6 Ga 0.3333 0.6667 0.9136  1 Sc 3.03, 7 Tb 3.05-3.17
7 Ga 0.0000 0.0000 0.2551  5 Tb 2.99-3.12, 3 Sc 3.02
8 Ga 0.3333 0.6667 0.4196  4 Sc 3.01-3.05, 4 Tb 3.01-3.03
9 Ga 0.0000 0.0000 0.7449  5 Tb 2.99-3.12, 3 Sc 3.02
10 Ga 0.6667 0.3333 0.5804  4 Sc 3.01-3.05, 4 Tb 3.01-3.03
11 Sc 0.3333 0.6667 0.6660  8 Ga 3.01-3.05
12 Sc 0.6667 0.3333 0.3340  8 Ga 3.01-3.05

Calculated values
- Magnetic moment: 0.00 Bohr magnetons per cell
- SG: No. 164
- Crystal system: trigonal
- Fermi-level density of states: 0.46 states/eV/atom



How far above the most stable structure does each one sit? In meV/atom: version w 239; version x 0.



Version w
The following is a DFT calculation (PBE) of a geometry-optimized TbScGa4 structure.

Cell lengths 4.3489, 5.6016, 5.6016 Å; angles 85.29, 67.16, 67.16 degrees
With the nearest neighbours (Å) after each atom.
Positions (direct):
1 Sc 0.5000 0.5000 0.5000  12 Ga 3.00-3.14
2 Tb 0.0000 0.0000 0.0000  12 Ga 3.03-3.12
3 Ga 0.2354 0.4302 0.0989  3 Ga 2.51-2.53
4 Ga 0.7646 0.9011 0.5698  3 Ga 2.51-2.53
5 Ga 0.7646 0.5698 0.9011  3 Ga 2.51-2.53
6 Ga 0.2354 0.0989 0.4302  3 Ga 2.51-2.53

Calculated values
- Magnetic moment: 0.00 Bohr magnetons per cell
- SG: No. 71
- Crystal system: orthorhombic
- Fermi-level density of states: 0.46 states/eV/atom



Version x
The following is a DFT calculation (PBE) of a geometry-optimized TbScGa4 structure.

Cell lengths 5.4235, 5.4235, 5.4235 Å; angles 60.00, 60.00, 60.00 degrees
With the nearest neighbours (Å) after each atom.
Positions (direct):
1 Ga 0.6252 0.6252 0.6252  6 Ga 2.71-2.72
2 Ga 0.6252 0.1243 0.6252  6 Ga 2.71-2.72
3 Ga 0.6252 0.6252 0.1243  6 Ga 2.71-2.72
4 Ga 0.1243 0.6252 0.6252  6 Ga 2.71-2.72
5 Tb 0.2500 0.2500 0.2500  12 Ga 3.18, 4 Sc 3.32
6 Sc 0.0000 0.0000 0.0000  12 Ga 3.18, 4 Tb 3.32

Calculated values
- Magnetic moment: 0.00 Bohr magnetons per cell
- SG: No. 216
- Crystal system: cubic
- Fermi-level density of states: 0.57 states/eV/atom



How far above the most stable structure does each one sit? In meV/atom: version w 0; version x 54.



Version w
The following is a DFT calculation (PBE) of a geometry-optimized Tb2ScGa2 structure.

Cell lengths 4.3015, 7.4848, 7.4848 Å; angles 90.00, 90.00, 90.00 degrees
With the nearest neighbours (Å) after each atom.
Positions (direct):
1 Tb 0.5000 0.1753 0.6753  6 Ga 3.03-3.13
2 Tb 0.5000 0.8247 0.3247  6 Ga 3.03-3.13
3 Tb 0.5000 0.6753 0.8247  6 Ga 3.03-3.13
4 Tb 0.5000 0.3247 0.1753  6 Ga 3.03-3.13
5 Ga 0.0000 0.3766 0.8766  1 Ga 2.61
6 Ga 0.0000 0.1234 0.3766  1 Ga 2.61
7 Ga 0.0000 0.6234 0.1234  1 Ga 2.61
8 Ga 0.0000 0.8766 0.6234  1 Ga 2.61
9 Sc 0.0000 0.0000 0.0000  4 Ga 2.97
10 Sc 0.0000 0.5000 0.5000  4 Ga 2.97

Calculated values
- Magnetic moment: 0.00 Bohr magnetons per cell
- SG: No. 127
- Crystal system: tetragonal
- Fermi-level density of states: 1.21 states/eV/atom



Version x
The following is a DFT calculation (PBE) of a geometry-optimized Tb2ScGa2 structure.

Cell lengths 4.3467, 5.8642, 5.8642 Å; angles 64.35, 68.25, 68.25 degrees
With the nearest neighbours (Å) after each atom.
Positions (direct):
1 Tb 0.7970 0.7030 0.7030  6 Ga 3.12-3.21, 2 Sc 3.43
2 Tb 0.2030 0.2970 0.2970  6 Ga 3.12-3.21, 2 Sc 3.43
3 Sc 0.0000 0.0000 0.0000  4 Ga 2.83
4 Ga 0.5000 0.2898 0.7102  1 Ga 2.63, 2 Sc 2.83
5 Ga 0.5000 0.7102 0.2898  1 Ga 2.63, 2 Sc 2.83

Calculated values
- Magnetic moment: 0.00 Bohr magnetons per cell
- SG: No. 71
- Crystal system: orthorhombic
- Fermi-level density of states: 0.87 states/eV/atom



How far above the most stable structure does each one sit? In meV/atom: version w 0; version x 30.



Version w
The following is a DFT calculation (PBE) of a geometry-optimized Tb2Sc3Ga4 structure.

Cell lengths 6.4431, 8.1912, 8.3167 Å; angles 90.00, 112.79, 90.00 degrees
With the nearest neighbours (Å) after each atom.
Positions (direct):
1 Ga 0.1855 0.9567 0.3710  5 Sc 2.80-2.92
2 Ga 0.2852 0.2500 0.0704  3 Sc 2.66-2.74
3 Ga 0.2148 0.7500 0.9296  3 Sc 2.66-2.74
4 Ga 0.6855 0.5433 0.3710  5 Sc 2.80-2.92
5 Ga 0.8145 0.0433 0.6290  5 Sc 2.80-2.92
6 Ga 0.7148 0.7500 0.9296  3 Sc 2.66-2.74
7 Ga 0.3145 0.4567 0.6290  5 Sc 2.80-2.92
8 Ga 0.7852 0.2500 0.0704  3 Sc 2.66-2.74
9 Sc 0.9638 0.2500 0.4277  5 Ga 2.74-2.92
10 Sc 0.4638 0.2500 0.4277  5 Ga 2.74-2.92
11 Sc 0.5000 0.5000 0.0000  6 Ga 2.66-2.87
12 Sc 0.0362 0.7500 0.5723  5 Ga 2.74-2.92
13 Sc 0.0000 0.0000 0.0000  6 Ga 2.66-2.87
14 Sc 0.5362 0.7500 0.5723  5 Ga 2.74-2.92
15 Tb 0.6100 0.9170 0.2200  6 Ga 3.07-3.37, 2 Sc 3.43
16 Tb 0.8900 0.4170 0.7800  6 Ga 3.07-3.37, 2 Sc 3.43
17 Tb 0.3900 0.0830 0.7800  6 Ga 3.07-3.37, 2 Sc 3.43
18 Tb 0.1100 0.5830 0.2200  6 Ga 3.07-3.37, 2 Sc 3.43

Calculated values
- Magnetic moment: 0.00 Bohr magnetons per cell
- SG: No. 64
- Crystal system: orthorhombic
- Fermi-level density of states: 0.75 states/eV/atom



Version x
The following is a DFT calculation (PBE) of a geometry-optimized Tb2Sc3Ga4 structure.

Cell lengths 7.3025, 7.5824, 7.5856 Å; angles 90.00, 90.00, 107.96 degrees
With the nearest neighbours (Å) after each atom.
Positions (direct):
1 Sc 0.7515 0.7531 0.3246  6 Ga 2.80-2.91
2 Sc 0.7485 0.2469 0.8246  6 Ga 2.80-2.91
3 Sc 0.0000 0.5000 0.5000  6 Ga 2.88-3.04
4 Sc 0.2515 0.7531 0.1754  6 Ga 2.80-2.91
5 Sc 0.2485 0.2469 0.6754  6 Ga 2.80-2.91
6 Sc 0.5000 0.5000 0.0000  6 Ga 2.88-3.04
7 Tb 0.5721 0.1934 0.3226  6 Ga 3.00-3.21
8 Tb 0.0721 0.1934 0.1774  6 Ga 3.00-3.21
9 Tb 0.9279 0.8066 0.8226  6 Ga 3.00-3.21
10 Tb 0.4279 0.8066 0.6774  6 Ga 3.00-3.21
11 Ga 0.8725 0.4956 0.1223  1 Ga 2.62, 4 Sc 2.83-2.90
12 Ga 0.6275 0.5044 0.6223  1 Ga 2.62, 4 Sc 2.83-2.90
13 Ga 0.3725 0.4956 0.3777  1 Ga 2.62, 4 Sc 2.83-2.90
14 Ga 0.3640 0.0797 0.9664  1 Ga 2.67, 3 Sc 2.80-2.91
15 Ga 0.8640 0.0797 0.5336  1 Ga 2.67, 3 Sc 2.80-2.91
16 Ga 0.1360 0.9203 0.4664  1 Ga 2.67, 3 Sc 2.80-2.91
17 Ga 0.1275 0.5044 0.8777  1 Ga 2.62, 4 Sc 2.83-2.90
18 Ga 0.6360 0.9203 0.0336  1 Ga 2.67, 3 Sc 2.80-2.91

Calculated values
- Magnetic moment: 0.00 Bohr magnetons per cell
- SG: No. 14
- Crystal system: monoclinic
- Fermi-level density of states: 0.73 states/eV/atom



How far above the most stable structure does each one sit? In meV/atom: version w 159; version x 0.



Version w
The following is a DFT calculation (PBE) of a geometry-optimized TbSc2Ga6 structure.

Cell lengths 4.1707, 7.5442, 7.5442 Å; angles 54.05, 73.95, 73.95 degrees
With the nearest neighbours (Å) after each atom.
Positions (direct):
1 Ga 0.3104 0.3859 0.9934  4 Ga 2.56-2.70, 1 Sc 2.76
2 Ga 0.5000 0.6843 0.3157  3 Ga 2.53-2.56
3 Ga 0.5000 0.3157 0.6843  3 Ga 2.53-2.56
4 Ga 0.6896 0.0066 0.6141  4 Ga 2.56-2.70, 1 Sc 2.76
5 Ga 0.3104 0.9934 0.3859  4 Ga 2.56-2.70, 1 Sc 2.76
6 Ga 0.6896 0.6141 0.0066  4 Ga 2.56-2.70, 1 Sc 2.76
7 Tb 0.0000 0.0000 0.0000  4 Ga 3.01
8 Sc 0.1216 0.3784 0.3784  10 Ga 2.76-3.07
9 Sc 0.8784 0.6216 0.6216  10 Ga 2.76-3.07

Calculated values
- Magnetic moment: 0.00 Bohr magnetons per cell
- SG: No. 71
- Crystal system: orthorhombic
- Fermi-level density of states: 0.51 states/eV/atom



Version x
The following is a DFT calculation (PBE) of a geometry-optimized TbSc2Ga6 structure.

Cell lengths 3.3510, 7.6211, 7.6211 Å; angles 120.00, 90.00, 90.00 degrees
With the nearest neighbours (Å) after each atom.
Positions (direct):
1 Ga 0.5000 0.6631 0.0000  3 Ga 2.49-2.57
2 Ga 0.5000 0.0000 0.6631  3 Ga 2.49-2.57
3 Ga 0.5000 0.6630 0.6631  3 Ga 2.49-2.57
4 Ga 0.5000 0.3369 0.0000  3 Ga 2.49-2.57
5 Ga 0.5000 0.3369 0.3369  3 Ga 2.49-2.57
6 Ga 0.5000 0.0000 0.3369  3 Ga 2.49-2.57
7 Sc 0.0000 0.3333 0.6667  12 Ga 3.03, 2 Sc 3.35
8 Sc 0.0000 0.6667 0.3333  12 Ga 3.03, 2 Sc 3.35
9 Tb 0.0000 0.0000 0.0000  12 Ga 3.07, 2 Tb 3.35

Calculated values
- Magnetic moment: 0.00 Bohr magnetons per cell
- SG: No. 191
- Crystal system: hexagonal
- Fermi-level density of states: 0.26 states/eV/atom



How far above the most stable structure does each one sit? In meV/atom: version w 76; version x 0.



Version w
The following is a DFT calculation (PBE) of a geometry-optimized TbScGa6 structure.

Cell lengths 4.2049, 4.2049, 8.3912 Å; angles 90.00, 90.00, 90.00 degrees
With the nearest neighbours (Å) after each atom.
Positions (direct):
1 Ga 0.5000 0.5000 0.0000  4 Tb 2.97, 8 Ga 3.03
2 Ga 0.0000 0.5000 0.7406  2 Sc 2.91, 8 Ga 2.91-3.03, 2 Tb 3.03
3 Ga 0.5000 0.0000 0.7406  2 Sc 2.91, 8 Ga 2.91-3.03, 2 Tb 3.03
4 Ga 0.5000 0.0000 0.2594  2 Sc 2.91, 8 Ga 2.91-3.03, 2 Tb 3.03
5 Ga 0.5000 0.5000 0.5000  8 Ga 2.91, 4 Sc 2.97
6 Ga 0.0000 0.5000 0.2594  2 Sc 2.91, 8 Ga 2.91-3.03, 2 Tb 3.03
7 Tb 0.0000 0.0000 0.0000  12 Ga 2.97-3.03
8 Sc 0.0000 0.0000 0.5000  12 Ga 2.91-2.97

Calculated values
- Magnetic moment: 0.00 Bohr magnetons per cell
- SG: No. 123
- Crystal system: tetragonal
- Fermi-level density of states: 0.23 states/eV/atom



Version x
The following is a DFT calculation (PBE) of a geometry-optimized TbScGa6 structure.

Cell lengths 4.5890, 6.1258, 6.1258 Å; angles 120.06, 90.00, 90.00 degrees
With the nearest neighbours (Å) after each atom.
Positions (direct):
1 Ga 0.0000 0.0460 0.3982  6 Ga 2.72-2.80, 2 Tb 3.02
2 Ga 0.0000 0.6023 0.3977  6 Ga 2.72-2.80, 2 Tb 3.02
3 Ga 0.5000 0.9060 0.5617  6 Ga 2.80-2.86, 2 Sc 2.97, 2 Tb 3.06-3.07
4 Ga 0.5000 0.4383 0.0940  6 Ga 2.80-2.86, 2 Sc 2.97, 2 Tb 3.06-3.07
5 Ga 0.0000 0.6018 0.9540  6 Ga 2.72-2.80, 2 Tb 3.02
6 Ga 0.5000 0.9054 0.0946  6 Ga 2.80-2.86, 2 Sc 2.97, 2 Tb 3.06
7 Sc 0.0000 0.0830 0.9170  12 Ga 2.97-3.07
8 Tb 0.5000 0.4169 0.5831  12 Ga 3.02-3.07

Calculated values
- Magnetic moment: 0.00 Bohr magnetons per cell
- SG: No. 187
- Crystal system: hexagonal
- Fermi-level density of states: 0.48 states/eV/atom



How far above the most stable structure does each one sit? In meV/atom: version w 0; version x 40.